[1]
Entry from Alexandria via LeMat-Bulk: a relaxed SmYTm2P4 crystal (PBE-GGA).

Cell: 4.007 6.937 6.935 Å, 109.47 90.00 90.00°
Positions (direct):
Tm: 0.500 0.000 0.500
Tm: 0.000 0.500 0.500
P: 0.000 0.755 0.258
P: 0.500 0.250 0.256
P: 0.500 0.750 0.744
P: 0.000 0.245 0.742
Sm: 0.500 0.500 0.000
Y: 0.000 0.000 0.000

As for the space group: P2/m, No. 10. The magnetic moment is 0.00 Bohr magnetons per cell. The value obtained for the uncorrected energy is -6.818 eV/atom. Its formation energy is -1598 meV/atom. The value obtained for the density is 6.406 Mg/m³.

[2]
Entry from Alexandria via LeMat-Bulk: a relaxed Zr2Cu3Ni crystal (PBE-GGA).

Cell: 4.829 4.829 9.006 Å, 109.21 109.21 86.52°
Positions (direct):
Cu: 0.446 0.771 0.051
Cu: 0.750 0.250 0.250
Cu: 0.229 0.554 0.449
Cu: 0.250 0.750 0.750
Cu: 0.771 0.446 0.551
Cu: 0.554 0.229 0.949
Ni: 0.875 0.125 0.750
Ni: 0.125 0.875 0.250
Zr: 0.160 0.313 0.119
Zr: 0.840 0.687 0.881
Zr: 0.687 0.840 0.381
Zr: 0.313 0.160 0.619

As for the space group: C2/c, No. 15. The magnetic moment is 0.00 Bohr magnetons per cell. The value obtained for the uncorrected energy is -6.029 eV/atom. Its formation energy is -168 meV/atom. The value obtained for the density is 7.667 Mg/m³.